Computed, not measured: crystalline LaPmDyEr2 at its relaxed geometry at the GGA-PBE level of DFT.

Results
Theoretical density in g/cm³: 7.39
VASP energy in eV/atom: -4.325
Total moment in μB/f.u.: 0.00

Cell lengths 8.438, 11.532, 7.215 Å; angles 90.00, 90.00, 90.00 degrees
Space group Cmcm (No. 63)
Unique sites:
La: 0.000 0.234 0.250
Pm: 0.000 0.500 0.250
Dy: 0.000 0.218 0.750
Er: 0.187 0.000 0.000

Computed, not measured: crystalline LaPm4DyEr2 at its relaxed geometry at the GGA-PBE level of DFT.

Results
Theoretical density in g/cm³: 7.55
VASP energy in eV/atom: -4.685
Total moment in μB/f.u.: 0.00

Cell lengths 11.420, 5.117, 10.249 Å; angles 90.00, 116.72, 90.00 degrees
Space group C2/m (No. 12)
Unique sites:
La: 0.000 0.000 0.000
Pm: 0.249 0.000 0.873
Pm: 0.249 0.500 0.623
Dy: 0.000 0.000 0.500
Er: 0.000 0.500 0.253

Computed, not measured: crystalline La6PmDyEr2 at its relaxed geometry at the GGA-PBE level of DFT.

Results
Theoretical density in g/cm³: 7.05
VASP energy in eV/atom: -4.693
Total moment in μB/f.u.: 0.00

Cell lengths 9.860, 15.293, 9.224 Å; angles 90.00, 91.35, 90.00 degrees
Space group C2/c (No. 15)
Unique sites:
La: 0.075 0.141 0.098
La: 0.076 0.354 0.910
La: 0.246 0.281 0.320
Pm: 0.000 0.074 0.750
Dy: 0.000 0.436 0.250
Er: 0.248 0.454 0.567

Computed, not measured: crystalline La2PmDyEr4 at its relaxed geometry at the GGA-PBE level of DFT.

Results
Theoretical density in g/cm³: 8.00
VASP energy in eV/atom: -4.662
Total moment in μB/f.u.: 0.00

Cell lengths 12.445, 7.185, 12.363 Å; angles 90.00, 109.64, 90.00 degrees
Space group C2/m (No. 12)
Unique sites:
La: 0.000 0.000 0.000
La: 0.000 0.000 0.500
La: 0.250 0.250 0.000
Pm: 0.000 0.500 0.000
Pm: 0.000 0.500 0.500
Dy: 0.250 0.250 0.500
Er: 0.001 0.251 0.253
Er: 0.249 0.500 0.747
Er: 0.250 0.000 0.747

Computed, not measured: crystalline LaPm3DyEr at its relaxed geometry at the GGA-PBE level of DFT.

Results
Theoretical density in g/cm³: 7.40
VASP energy in eV/atom: -4.698
Total moment in μB/f.u.: 0.00

Cell lengths 8.088, 5.150, 10.268 Å; angles 90.00, 108.55, 90.00 degrees
Space group P2_1/m (No. 11)
Unique sites:
La: 0.170 0.250 0.292
Pm: 0.170 0.250 0.793
Pm: 0.170 0.750 0.544
Pm: 0.171 0.750 0.041
Dy: 0.499 0.250 0.627
Er: 0.498 0.750 0.876

Computed, not measured: crystalline La2PmDyEr at its relaxed geometry at the GGA-PBE level of DFT.

Results
Theoretical density in g/cm³: 7.06
VASP energy in eV/atom: -4.396
Total moment in μB/f.u.: 0.00

Cell lengths 6.524, 16.648, 6.522 Å; angles 90.00, 90.00, 90.00 degrees
Space group Cmcm (No. 63)
Unique sites:
La: 0.250 0.000 0.000
Pm: 0.000 0.159 0.250
Dy: 0.000 0.343 0.250
Er: 0.000 0.251 0.750

Computed, not measured: crystalline La2PmDyEr2 at its relaxed geometry at the GGA-PBE level of DFT.

Results
Theoretical density in g/cm³: 7.58
VASP energy in eV/atom: -4.649
Total moment in μB/f.u.: 0.00

Cell lengths 5.724, 9.944, 7.078 Å; angles 90.00, 90.00, 90.00 degrees
Space group Pmc2_1 (No. 26)
Unique sites:
La: 0.000 0.001 0.000
La: 0.500 0.171 0.250
Pm: 0.500 0.500 0.000
Dy: 0.000 0.337 0.749
Er: 0.000 0.335 0.250
Er: 0.500 0.168 0.750

Computed, not measured: crystalline LaPm6Dy2Er at its relaxed geometry at the GGA-PBE level of DFT.

Results
Theoretical density in g/cm³: 7.30
VASP energy in eV/atom: -4.602
Total moment in μB/f.u.: 0.00

Cell lengths 9.240, 15.305, 9.761 Å; angles 90.00, 98.21, 90.00 degrees
Space group C2/c (No. 15)
Unique sites:
La: 0.000 0.094 0.250
Pm: 0.064 0.323 0.445
Pm: 0.100 0.107 0.621
Pm: 0.204 0.274 0.818
Dy: 0.242 0.451 0.045
Er: 0.000 0.471 0.750

Computed, not measured: crystalline La3Pm6DyEr2 at its relaxed geometry at the GGA-PBE level of DFT.

Results
Theoretical density in g/cm³: 7.22
VASP energy in eV/atom: -4.729
Total moment in μB/f.u.: 0.00

Cell lengths 6.311, 10.943, 12.071 Å; angles 90.00, 100.09, 90.00 degrees
Space group C2/m (No. 12)
Unique sites:
La: 0.000 0.000 0.000
La: 0.000 0.333 0.000
Pm: 0.247 0.000 0.743
Pm: 0.248 0.333 0.743
Dy: 0.000 0.500 0.500
Er: 0.000 0.167 0.500

Computed, not measured: crystalline LaPm4Dy2Er2 at its relaxed geometry at the GGA-PBE level of DFT.

Results
Theoretical density in g/cm³: 7.67
VASP energy in eV/atom: -4.674
Total moment in μB/f.u.: 0.00

Cell lengths 15.302, 5.093, 8.063 Å; angles 90.00, 108.26, 90.00 degrees
Space group C2/m (No. 12)
Unique sites:
La: 0.000 0.000 0.000
Pm: 0.055 0.500 0.334
Pm: 0.223 0.000 0.332
Dy: 0.111 0.000 0.666
Er: 0.169 0.500 0.999

Computed, not measured: crystalline La6PmDy2Er at its relaxed geometry at the GGA-PBE level of DFT.

Results
Theoretical density in g/cm³: 6.86
VASP energy in eV/atom: -4.614
Total moment in μB/f.u.: 0.00

Cell lengths 11.439, 7.068, 9.098 Å; angles 90.00, 104.63, 90.00 degrees
Space group C2/m (No. 12)
Unique sites:
La: 0.134 0.000 0.429
La: 0.187 0.278 0.807
Pm: 0.000 0.500 0.500
Dy: 0.083 0.500 0.166
Er: 0.000 0.000 0.000

Computed, not measured: crystalline La2PmDy2Er2 at its relaxed geometry at the GGA-PBE level of DFT.

Results
Theoretical density in g/cm³: 7.72
VASP energy in eV/atom: -4.675
Total moment in μB/f.u.: 0.00

Cell lengths 11.401, 5.092, 8.103 Å; angles 90.00, 98.16, 90.00 degrees
Space group C2/m (No. 12)
Unique sites:
La: 0.142 0.000 0.426
Pm: 0.000 0.000 0.000
Dy: 0.216 0.500 0.139
Er: 0.071 0.500 0.718